Material: InGeCl3
Method: DFT, PBE-GGA
State: relaxed

Values from the calculation:
* density of states at the Fermi level: 0.0000 states/eV per atom
* E_form (uncorrected): -0.825 eV per atom
* energy: -3.404 eV per atom

a b c (Å): 7.7666 7.7668 7.7264
angles (deg): 119.30 60.70 117.02
Sites, in units of the cell vectors:
Ge1 0.6966 0.5538 0.9991
Ge2 0.2342 0.0913 0.4991
In1 0.4966 0.8055 0.6265
In2 0.9824 0.2913 0.1265
Cl1 0.0699 0.8917 0.7267
Cl2 0.3863 0.3880 0.7426
Cl3 0.8256 0.2580 0.7969
Cl4 0.8962 0.7180 0.2267
Cl5 0.3998 0.4017 0.2426
Cl6 0.5299 0.9623 0.2968